Below is a relaxed structure of ZnFeO2, with properties calculated at the PBE+U level.

a = 5.4938 Å, b = 3.0516 Å, c = 10.8037 Å
α = 90.00°, β = 90.00°, γ = 90.00°
Each line ends with the local moment (μB).
Positions (direct):
Zn1 0.4369 0.2500 0.3874  0.02
Zn2 0.0631 0.7500 0.8874  0.02
Zn3 0.5631 0.7500 0.6126  0.02
Zn4 0.9369 0.2500 0.1126  0.02
Fe1 0.0750 0.2500 0.6248  3.76
Fe2 0.4250 0.7500 0.1248  3.76
Fe3 0.9250 0.7500 0.3752  3.76
Fe4 0.5750 0.2500 0.8752  3.76
O1 0.7640 0.2500 0.5168  0.07
O2 0.7360 0.7500 0.0168  0.07
O3 0.2360 0.7500 0.4832  0.07
O4 0.2640 0.2500 0.9832  0.07
O5 0.4079 0.2500 0.7082  0.08
O6 0.0921 0.7500 0.2082  0.08
O7 0.5921 0.7500 0.2918  0.08
O8 0.9079 0.2500 0.7918  0.08

Results
The energy above the lowest structure with this stoichiometry comes out at 140 meV per atom. The calculation puts the uncorrected energy at -87.071 eV for the cell shown. For the spin magnetization, the calculation gives 1.000 μB per atom.